#A
{
  "formula": "Ca2CrAg",
  "functional": "PBE",
  "state": "relaxed",
  "lattice_angstrom": [[0.0000, 3.6819, 3.6819], [3.6819, 0.0000, 3.6819], [3.6819, 3.6819, 0.0000]],
  "species": ["Ca", "Ca", "Cr", "Ag"],
  "frac_coords": [[0.0000, 0.0000, 0.0000], [0.2500, 0.2500, 0.2500], [0.5000, 0.5000, 0.5000], [0.7500, 0.7500, 0.7500]]
}

***

#B
{
  "formula": "Ca2CrAg",
  "functional": "PBE",
  "state": "relaxed",
  "lattice_angstrom": [[1.8527, 1.0696, 9.5320], [-1.8527, 1.0696, 9.5320], [0.0000, -2.1393, 9.5320]],
  "species": ["Ca", "Ca", "Cr", "Ag"],
  "frac_coords": [[0.2471, 0.2471, 0.2471], [0.7529, 0.7529, 0.7529], [0.0000, 0.0000, 0.0000], [0.5000, 0.5000, 0.5000]]
}

***

#C
{
  "formula": "Ca2CrAg",
  "functional": "PBE",
  "state": "relaxed",
  "lattice_angstrom": [[0.0000, 3.7536, 3.7536], [3.7536, 0.0000, 3.7536], [3.7536, 3.7536, 0.0000]],
  "species": ["Ca", "Ca", "Cr", "Ag"],
  "frac_coords": [[0.2500, 0.2500, 0.2500], [0.7500, 0.7500, 0.7500], [0.0000, 0.0000, 0.0000], [0.5000, 0.5000, 0.5000]]
}

***

Most favorable structure: #C. The second most favorable one is 0.119 eV/atom above it.

***

#A
{
  "formula": "Ca2CrAg",
  "functional": "PBE",
  "state": "relaxed",
  "lattice_angstrom": [[3.6991, -3.7245, 0.0000], [3.6991, 3.7245, 0.0000], [-0.0068, 0.0000, 3.8127]],
  "species": ["Ca", "Ca", "Cr", "Ag"],
  "frac_coords": [[0.0000, 0.5000, 0.0000], [0.5000, 0.0000, 0.0000], [0.0000, 0.0000, 0.5000], [0.5000, 0.5000, 0.5000]]
}

***

#B
{
  "formula": "Ca2CrAg",
  "functional": "PBE",
  "state": "relaxed",
  "lattice_angstrom": [[4.2232, 0.0000, 0.0000], [0.0000, 4.5730, 0.0000], [-2.0958, 0.0000, 5.7877]],
  "species": ["Ca", "Ca", "Cr", "Ag"],
  "frac_coords": [[0.0000, 0.0000, 0.0000], [0.2893, 0.5000, 0.5806], [0.5770, 0.5000, 0.1538], [0.7122, 0.0000, 0.4264]]
}

***

#C
{
  "formula": "Ca2CrAg",
  "functional": "PBE",
  "state": "relaxed",
  "lattice_angstrom": [[6.0107, -1.8939, 0.0000], [6.0107, 1.8939, 0.0000], [-2.2108, 0.0000, 4.6933]],
  "species": ["Ca", "Ca", "Cr", "Ag"],
  "frac_coords": [[0.0000, 0.0000, 0.0000], [0.2124, 0.2124, 0.7104], [0.4395, 0.4395, 0.4396], [0.7513, 0.7513, 0.2489]]
}

***

#D
{
  "formula": "Ca2CrAg",
  "functional": "PBE",
  "state": "relaxed",
  "lattice_angstrom": [[3.6861, 0.0000, 0.0000], [0.0000, 3.6861, 0.0000], [0.0000, 0.0000, 8.1083]],
  "species": ["Ca", "Ca", "Cr", "Ag"],
  "frac_coords": [[0.0000, 0.0000, 0.0000], [0.5000, 0.5000, 0.3672], [0.0000, 0.0000, 0.6137], [0.5000, 0.5000, 0.7640]]
}

***

Most favorable structure: #B. The second most favorable one is 0.031 eV/atom above it.

***

#A
{
  "formula": "CaCrAg2",
  "functional": "PBE",
  "state": "relaxed",
  "lattice_angstrom": [[3.3069, -3.3220, 0.0000], [3.3069, 3.3220, 0.0000], [0.0000, 0.0000, 3.7939]],
  "species": ["Ca", "Cr", "Ag", "Ag"],
  "frac_coords": [[0.0000, 0.0000, 0.0000], [0.5000, 0.5000, 0.0000], [0.0000, 0.5000, 0.5000], [0.5000, 0.0000, 0.5000]]
}

***

#B
{
  "formula": "CaCrAg2",
  "functional": "PBE",
  "state": "relaxed",
  "lattice_angstrom": [[0.0000, 3.4856, 3.4856], [3.4856, 0.0000, 3.4856], [3.4856, 3.4856, 0.0000]],
  "species": ["Ca", "Cr", "Ag", "Ag"],
  "frac_coords": [[0.0000, 0.0000, 0.0000], [0.5000, 0.5000, 0.5000], [0.2500, 0.2500, 0.2500], [0.7500, 0.7500, 0.7500]]
}

***

Most favorable structure: #B. The second most favorable one is 0.020 eV/atom above it.

***

#A
{
  "formula": "CaCrAg",
  "functional": "PBE",
  "state": "relaxed",
  "lattice_angstrom": [[0.0000, 3.4877, 3.4877], [3.4877, 0.0000, 3.4877], [3.4877, 3.4877, 0.0000]],
  "species": ["Ca", "Cr", "Ag"],
  "frac_coords": [[0.0000, 0.0000, 0.0000], [0.7500, 0.7500, 0.7500], [0.2500, 0.2500, 0.2500]]
}

***

#B
{
  "formula": "CaCrAg",
  "functional": "PBE",
  "state": "relaxed",
  "lattice_angstrom": [[4.8013, 0.0000, 0.0000], [-2.4006, 4.1580, 0.0000], [0.0000, 0.0000, 3.6114]],
  "species": ["Ca", "Cr", "Ag"],
  "frac_coords": [[0.0000, 0.0000, 0.0000], [0.6667, 0.3333, 0.5000], [0.3333, 0.6667, 0.5000]]
}

***

#C
{
  "formula": "CaCrAg",
  "functional": "PBE",
  "state": "relaxed",
  "lattice_angstrom": [[3.5425, 0.0000, 0.0000], [-1.7713, 3.0679, 0.0000], [0.0000, 0.0000, 6.8175]],
  "species": ["Ca", "Cr", "Ag"],
  "frac_coords": [[0.0000, 0.0000, 0.0000], [0.3333, 0.6667, 0.3736], [0.6667, 0.3333, 0.6560]]
}

***

Most favorable structure: #B. The second most favorable one is 0.256 eV/atom above it.

***

#A
{
  "formula": "CaCrAg",
  "functional": "PBE",
  "state": "relaxed",
  "lattice_angstrom": [[-1.8140, 1.8140, 5.2794], [1.8140, -1.8140, 5.2794], [1.8140, 1.8140, -5.2794]],
  "species": ["Ca", "Cr", "Ag"],
  "frac_coords": [[0.0000, 0.0000, 0.0000], [0.6956, 0.6956, 0.0000], [0.3139, 0.3139, 0.0000]]
}

***

#B
{
  "formula": "CaCrAg",
  "functional": "PBE",
  "state": "relaxed",
  "lattice_angstrom": [[0.0000, 3.4154, 3.4154], [3.4154, 0.0000, 3.4154], [3.4154, 3.4154, 0.0000]],
  "species": ["Ca", "Cr", "Ag"],
  "frac_coords": [[0.0000, 0.0000, 0.0000], [0.5000, 0.5000, 0.5000], [0.7500, 0.7500, 0.7500]]
}

***

Most favorable structure: #A. The second most favorable one is 0.105 eV/atom above it.

***

#A
{
  "formula": "CsCaAg3",
  "functional": "PBE",
  "state": "relaxed",
  "lattice_angstrom": [[5.8899, 0.0000, 0.0000], [0.0000, 5.8899, 0.0000], [0.0000, 0.0000, 5.8899]],
  "species": ["Cs", "Ca", "Ag", "Ag", "Ag"],
  "frac_coords": [[0.0000, 0.0000, 0.0000], [0.5000, 0.5000, 0.5000], [0.0000, 0.5000, 0.5000], [0.5000, 0.0000, 0.5000], [0.5000, 0.5000, 0.0000]]
}

***

#B
{
  "formula": "CsCaAg3",
  "functional": "PBE",
  "state": "relaxed",
  "lattice_angstrom": [[6.0319, 0.0000, 0.0000], [0.0000, 6.0319, 0.0000], [0.0000, 0.0000, 6.0319]],
  "species": ["Cs", "Ca", "Ag", "Ag", "Ag"],
  "frac_coords": [[0.0000, 0.0000, 0.0000], [0.5000, 0.5000, 0.5000], [0.0000, 0.0000, 0.5000], [0.0000, 0.5000, 0.0000], [0.5000, 0.0000, 0.0000]]
}

***

Most favorable structure: #A. The second most favorable one is 0.660 eV/atom above it.